A plane-wave DFT calculation with PBE-GGA was carried out for a relaxed Sr2CrGeMo crystal.

```
data_Sr2CrGeMo
_chemical_formula_sum 'Sr2 Cr1 Ge1 Mo1'
_space_group_name_H-M_alt 'P 1'
_space_group_IT_number 1
_cell_length_a 5.9871
_cell_length_b 5.9871
_cell_length_c 4.8313
_cell_angle_alpha 90.00
_cell_angle_beta 90.00
_cell_angle_gamma 90.00
loop_
_space_group_symop_operation_xyz
'x,y,z'
loop_
_atom_site_label
_atom_site_fract_x
_atom_site_fract_y
_atom_site_fract_z
Sr1 0.0000 0.5000 0.0000
Sr2 0.5000 0.0000 0.0000
Cr1 0.0000 0.0000 0.5000
Ge1 0.5000 0.5000 0.0000
Mo1 0.5000 0.5000 0.5000
```

Output
**Total DFT energy (no corrections)**: -4.898 eV/atom
**Energy relative to the elements**: 18.20 kcal/mol of atoms